Entry 1:
Entry from Alexandria via LeMat-Bulk: a relaxed Fe3SiBr crystal (GGA-PBE).

Lattice parameters (Å, degrees): 4.3965 4.3965 4.3965 90.00 90.00 90.00
Last column: nearest neighbours and their distance in Å.
Fractional coordinates of all 5 atoms:
Fe  0.0000  0.5000  0.0000  2 Br 2.20
Br  0.0000  0.0000  0.0000  6 Fe 2.20
Fe  0.5000  0.0000  0.0000  2 Br 2.20
Si  0.5000  0.5000  0.5000  12 Fe 3.11
Fe  0.0000  0.0000  0.5000  2 Br 2.20

Energy above the most stable polymorph in this dataset: 471 meV/atom
Symmetry: Pm-3m

Entry 2:
Entry from Alexandria via LeMat-Bulk: a relaxed FeSi2Br crystal (GGA-PBE).

Lattice parameters (Å, degrees): 2.7238 2.7811 9.8587 90.00 90.00 90.00
Last column: nearest neighbours and their distance in Å.
Fractional coordinates of all 4 atoms:
Br  0.5000  0.5000  0.2500  4 Br 2.72-2.78
Si  0.0000  0.0000  0.6061  4 Fe 2.41
Si  0.0000  0.0000  0.8939  4 Fe 2.41
Fe  0.5000  0.5000  0.7500  8 Si 2.41

Energy above the most stable polymorph in this dataset: 38 meV/atom
Symmetry: Pmmm

Entry 3:
Entry from Alexandria via LeMat-Bulk: a relaxed FeSiBr2 crystal (GGA-PBE).

Lattice parameters (Å, degrees): 9.1373 9.1373 9.1373 21.50 21.50 21.50
Last column: nearest neighbours and their distance in Å.
Fractional coordinates of all 4 atoms:
Br  0.9789  0.9789  0.9789  3 Fe 2.58
Fe  0.2500  0.2500  0.2500  6 Br 2.58
Br  0.5211  0.5211  0.5211  3 Fe 2.58
Si  0.7500  0.7500  0.7500  6 Si 3.41, 6 Br 3.42

Energy above the most stable polymorph in this dataset: 408 meV/atom
Symmetry: R-3m

Entry 4:
Entry from Alexandria via LeMat-Bulk: a relaxed FeSi2Br crystal (GGA-PBE).

Lattice parameters (Å, degrees): 5.7078 5.7078 5.7078 142.27 142.27 54.42
Last column: nearest neighbours and their distance in Å.
Fractional coordinates of all 4 atoms:
Fe  0.7500  0.2500  0.5000  4 Br 2.61
Br  0.2500  0.7500  0.5000  4 Fe 2.61
Si  0.5000  0.5000  0.0000  4 Si 2.61
Si  0.0000  0.0000  0.0000  4 Si 2.61

Energy above the most stable polymorph in this dataset: 549 meV/atom
Symmetry: I4/mmm

Entry 5:
Entry from Alexandria via LeMat-Bulk: a relaxed Fe4SiBr crystal (GGA-PBE).

Lattice parameters (Å, degrees): 4.9742 4.9742 4.9742 60.00 60.00 60.00
Last column: nearest neighbours and their distance in Å.
Fractional coordinates of all 6 atoms:
Fe  0.6235  0.1296  0.6235  6 Fe 2.46-2.52
Si  0.2500  0.2500  0.2500  12 Fe 2.91, 4 Br 3.05
Br  0.0000  0.0000  0.0000  12 Fe 2.92, 4 Si 3.05
Fe  0.6235  0.6235  0.6235  6 Fe 2.46-2.52
Fe  0.6235  0.6235  0.1296  6 Fe 2.46-2.52
Fe  0.1296  0.6235  0.6235  6 Fe 2.46-2.52

Symmetry: F-43m

Entry 6:
Entry from Alexandria via LeMat-Bulk: a relaxed FeSi2Br crystal (GGA-PBE).

Lattice parameters (Å, degrees): 7.3771 7.3771 7.3771 25.58 25.58 25.58
Last column: nearest neighbours and their distance in Å.
Fractional coordinates of all 4 atoms:
Si  0.4802  0.4802  0.4802  3 Fe 2.32
Br  0.2500  0.2500  0.2500  6 Si 2.90
Si  0.0198  0.0198  0.0198  3 Fe 2.32
Fe  0.7500  0.7500  0.7500  6 Si 2.32

Energy above the most stable polymorph in this dataset: 26 meV/atom
Symmetry: R-3m

Entry 7:
Entry from Alexandria via LeMat-Bulk: a relaxed FeSi2Br crystal (GGA-PBE).

Lattice parameters (Å, degrees): 5.6905 5.6905 6.8389 65.42 65.42 90.00
Last column: nearest neighbours and their distance in Å.
Fractional coordinates of all 8 atoms:
Si  0.2252  0.6250  0.2500  2 Fe 2.16
Si  0.3750  0.4752  0.7500  2 Fe 2.16
Si  0.8750  0.7748  0.7500  2 Fe 2.16
Fe  0.2500  0.7500  0.5000  4 Si 2.16
Si  0.5248  0.1250  0.2500  2 Fe 2.16
Fe  0.5000  0.5000  0.0000  4 Si 2.16
Br  0.0000  0.0000  0.0000  4 Si 2.81
Br  0.7500  0.2500  0.5000  4 Si 2.81

Energy above the most stable polymorph in this dataset: 267 meV/atom
Symmetry: I-42d

Entry 8:
Entry from Alexandria via LeMat-Bulk: a relaxed FeSi2Br crystal (GGA-PBE).

Lattice parameters (Å, degrees): 4.4754 4.4754 4.4754 60.00 60.00 60.00
Last column: nearest neighbours and their distance in Å.
Fractional coordinates of all 4 atoms:
Fe  0.0000  0.0000  0.0000  8 Si 2.74
Si  0.2500  0.2500  0.2500  4 Br 2.74, 4 Fe 2.74
Br  0.5000  0.5000  0.5000  8 Si 2.74
Si  0.7500  0.7500  0.7500  4 Br 2.74, 4 Fe 2.74

Energy above the most stable polymorph in this dataset: 943 meV/atom
Symmetry: Fm-3m

Entry 9:
Entry from Alexandria via LeMat-Bulk: a relaxed FeSiBr2 crystal (GGA-PBE).

Lattice parameters (Å, degrees): 4.3192 4.3192 7.7423 74.29 74.29 47.25
Last column: nearest neighbours and their distance in Å.
Fractional coordinates of all 4 atoms:
Br  0.8719  0.8719  0.6398  1 Si 2.55, 2 Fe 2.61
Br  0.0251  0.0251  0.1102  1 Si 2.55, 2 Fe 2.61
Si  0.1545  0.1545  0.3749  3 Fe 2.33-2.38, 2 Br 2.55
Fe  0.4485  0.4485  0.3751  3 Si 2.33-2.38

Energy above the most stable polymorph in this dataset: 48 meV/atom
Symmetry: Cm

Entry 10:
Entry from Alexandria via LeMat-Bulk: a relaxed FeSi2Br crystal (GGA-PBE).

Lattice parameters (Å, degrees): 5.8813 3.5575 3.5575 90.00 90.00 90.00
Last column: nearest neighbours and their distance in Å.
Fractional coordinates of all 4 atoms:
Fe  0.5000  0.0000  0.5000  4 Br 2.52
Si  0.0000  0.5000  0.5000  4 Si 2.52
Br  0.5000  0.5000  0.0000  4 Fe 2.52
Si  0.0000  0.0000  0.0000  4 Si 2.52

Energy above the most stable polymorph in this dataset: 504 meV/atom
Symmetry: P4/mmm

Entry 11:
Entry from Alexandria via LeMat-Bulk: a relaxed FeSi2Br crystal (GGA-PBE).

Lattice parameters (Å, degrees): 3.1170 3.1146 7.4179 90.00 90.00 90.00
Last column: nearest neighbours and their distance in Å.
Fractional coordinates of all 4 atoms:
Br  0.0000  0.0000  0.5779  4 Fe 2.81, 1 Si 2.87, 4 Br 3.11-3.12
Si  0.0000  0.0000  0.9642  4 Fe 2.47, 4 Si 2.58
Fe  0.5000  0.5000  0.8135  5 Si 2.46-2.47
Si  0.5000  0.5000  0.1444  1 Fe 2.46, 4 Si 2.58

Energy above the most stable polymorph in this dataset: 99 meV/atom
Symmetry: P4mm

Entry 12:
Entry from Alexandria via LeMat-Bulk: a relaxed FeSiBr2 crystal (GGA-PBE).

Lattice parameters (Å, degrees): 3.4575 3.4613 8.0367 76.76 90.00 90.00
Last column: nearest neighbours and their distance in Å.
Fractional coordinates of all 4 atoms:
Br  0.0000  0.1020  0.9058  1 Fe 2.38
Si  0.5000  0.7422  0.6394  4 Fe 2.46
Br  0.5000  0.3938  0.3529  2 Fe 2.60, 2 Si 2.83
Fe  0.0000  0.2621  0.6019  3 Br 2.38-2.60, 4 Si 2.46

Energy above the most stable polymorph in this dataset: 47 meV/atom
Symmetry: Pm

| no. | calculated total energy (eV/atom) | E_form (uncorrected) (meV/atom) |
| --- | --- | --- |
| 1 | -5.187 | 1310 |
| 2 | -4.996 | 250 |
| 3 | -3.962 | 346 |
| 4 | -4.484 | 761 |
| 5 | -6.260 | 565 |
| 6 | -5.007 | 238 |
| 7 | -4.766 | 480 |
| 8 | -4.090 | 1155 |
| 9 | -4.322 | -15 |
| 10 | -4.529 | 716 |
| 11 | -4.934 | 311 |
| 12 | -4.323 | -15 |